Pa2CrNi | the Alexandria database | GGA-PBE | relaxed; volume = 18.79 Å³ per atom; size of the total moment = 0.0 μB/f.u.; energy relative to the elements = 0.4893 eV/atom; VASP energy = -8.1099 eV/atom
1.0
3.029 0.000 0.000
-1.514 2.623 0.000
0.000 0.000 28.378
Pa Cr Ni
6 3 3
Direct
0.000 0.000 0.089
0.000 0.000 0.911
0.333 0.667 0.578
0.333 0.667 0.756
0.667 0.333 0.244
0.667 0.333 0.422
0.000 0.000 0.500
0.333 0.667 0.167
0.667 0.333 0.833
0.000 0.000 0.000
0.333 0.667 0.667
0.667 0.333 0.333